# Ta2CrNO5 (GGA+U, relaxed)
# Magnetization, μB per atom: 0.333
# ΔE to the lowest computed polymorph, meV per atom: 3
# E_tot, eV/atom: -9.408
# Calculated density, g/cm3: 8.0
data_Ta2CrNO5
_chemical_formula_sum 'Ta4 Cr2 N2 O10'
_cell_length_a 4.759
_cell_length_b 4.761
_cell_length_c 9.252
_cell_angle_alpha 89.80
_cell_angle_beta 89.91
_cell_angle_gamma 89.73
_space_group_name_H-M_alt 'P 1'
_space_group_IT_number 1
_space_group_name_Hall 'P 1'
loop_
_atom_site_label
_atom_site_fract_x
_atom_site_fract_y
_atom_site_fract_z
Ta1 0.000 0.000 0.000
Ta2 0.007 0.013 0.325
Ta3 0.498 0.516 0.501
Ta4 0.512 0.527 0.843
Cr1 0.498 0.525 0.164
Cr2 0.995 0.028 0.663
N1 0.195 0.830 0.166
N2 0.694 0.724 0.995
O1 0.192 0.830 0.496
O2 0.196 0.833 0.829
O3 0.297 0.331 0.659
O4 0.299 0.329 0.338
O5 0.301 0.331 0.993
O6 0.688 0.721 0.662
O7 0.693 0.722 0.337
O8 0.796 0.225 0.498
O9 0.803 0.227 0.829
O10 0.807 0.220 0.166